# 1
VASP calculation (GGA-PBEsol) on a geometry-optimized LiCdPt2 structure.

Geometry as POSCAR:
```
LiCdPt2
1.0
4.6309 -1.3914 0.0000
4.6309 1.3914 0.0000
-0.6912 0.0000 4.8124
Li Cd Pt
1 1 2
direct
0.0000 0.0000 0.0000
0.7652 0.7652 0.2718
0.2499 0.2499 0.7747
0.5125 0.5125 0.5278
```

Properties
Energy relative to the elements: -346 meV per atom
Fermi-level density of states: 1.995 states/eV/f.u.

=====

# 2
VASP calculation (GGA-PBEsol) on a geometry-optimized MgTaIr2 structure.

Geometry as POSCAR:
```
MgTaIr2
1.0
1.4427 -2.3496 0.0000
1.4427 2.3496 0.0000
0.0000 0.0000 9.3548
Mg Ta Ir
1 1 2
direct
0.0000 0.0000 0.0000
0.5000 0.5000 0.7211
0.0000 0.0000 0.4821
0.5000 0.5000 0.2327
```

Properties
Energy relative to the elements: 127 meV per atom
Relative energy among the computed polymorphs: 2.79 eV/f.u.
Fermi-level density of states: 3.245 states/eV/f.u.